## MnTl2WO (GGA+U)

Data for MnTl2WO after structural relaxation.

## Properties
* spin magnetization: 10.00 μB/f.u.
* uncorrected energy: -17.174 eV per cell

Cell lengths 5.5732, 5.5732, 5.2002 Å; angles 90.00, 90.00, 90.00 degrees
Closest atoms and distances in Å follow each position.
Sites, in units of the cell vectors:
1 Mn 0.0000 0.0000 0.0000  2 W 2.60
2 Tl 0.0000 0.5000 0.5000  2 W 2.79
3 Tl 0.5000 0.0000 0.5000  2 W 2.79
4 W 0.0000 0.0000 0.5000  2 Mn 2.60, 4 Tl 2.79
5 O 0.5000 0.5000 0.0000  8 Tl 3.81, 4 Mn 3.94